ZrAgOF2 | PBE-GGA | optimized geometry

Output
The formation energy (no corrections) is -2.246 eV/atom. The magnetic moment comes out at 0.21 μB per formula unit. The value obtained for the offset from the most stable computed form is 0.0 meV/atom.

Cell: 4.3507 4.3507 4.0830 Å, 90.00 90.00 90.00°
With the nearest neighbours (Å) after each atom.
Space group P4/mmm (No. 123)
Unique sites:
Zr (0.0000, 0.0000, 0.0000) (multiplicity 1)  2 O 2.04, 4 F 2.18
Ag (0.5000, 0.5000, 0.5000) (multiplicity 1)  8 F 2.98, 4 O 3.08
O (0.0000, 0.0000, 0.5000) (multiplicity 1)  2 Zr 2.04
F (0.0000, 0.5000, 0.0000) (multiplicity 2)  2 Zr 2.18